Run w
NbFeTcHg: optimized geometry, PBE-GGA.

abc: 4.634 3.234 8.882
angles: 90.00 91.36 90.00
Space group Cm (No. 8)
Inequivalent atoms, fractional coordinates:
Nb  0.000  0.000  0.000 [2 per cell]
Fe  0.014  0.500  0.231 [2 per cell]
Tc  0.488  0.000  0.763 [2 per cell]
Hg  0.119  0.000  0.486 [2 per cell]

The density of states at the Fermi level comes out at 6.142 states/eV per cell. Its volume is 16.632 Å³/atom. The mass density is 11.165 g cm⁻³.

Run x
NbFeTcHg: optimized geometry, PBE-GGA.

abc: 2.812 2.812 8.021
angles: 90.00 90.00 90.00
Space group P4mm (No. 99)
Inequivalent atoms, fractional coordinates:
Nb  0.000  0.000  0.000 [1 per cell]
Fe  0.500  0.500  0.764 [1 per cell]
Tc  0.000  0.000  0.576 [1 per cell]
Hg  0.500  0.500  0.294 [1 per cell]

The density of states at the Fermi level comes out at 3.733 states/eV per cell. Its volume is 15.854 Å³/atom. The mass density is 11.714 g cm⁻³.

Run y
NbFeTcHg: optimized geometry, PBE-GGA.

abc: 2.846 2.846 7.976
angles: 90.00 90.00 90.00
Space group P4mm (No. 99)
Inequivalent atoms, fractional coordinates:
Nb  0.000  0.000  0.000 [1 per cell]
Fe  0.000  0.000  0.553 [1 per cell]
Tc  0.500  0.500  0.733 [1 per cell]
Hg  0.500  0.500  0.294 [1 per cell]

The density of states at the Fermi level comes out at 2.799 states/eV per cell. Its volume is 16.150 Å³/atom. The mass density is 11.499 g cm⁻³.

Run z
NbFeTcHg: optimized geometry, PBE-GGA.

abc: 4.127 4.137 7.599
angles: 90.00 90.00 90.00
Space group Imm2 (No. 44)
Inequivalent atoms, fractional coordinates:
Nb  0.000  0.000  0.000 [2 per cell]
Fe  0.000  0.500  0.250 [2 per cell]
Tc  0.000  0.500  0.750 [2 per cell]
Hg  0.000  0.000  0.500 [2 per cell]

The density of states at the Fermi level comes out at 7.022 states/eV per cell. Its volume is 16.217 Å³/atom. The mass density is 11.451 g cm⁻³.

Which structure is the most stable? The one labeled run y.

Run w
FeNiHg: optimized geometry, PBE-GGA.

abc: 2.981 2.981 9.979
angles: 90.00 90.00 90.00
Space group I4mm (No. 107)
Inequivalent atoms, fractional coordinates:
Fe  0.000  0.000  0.000 [2 per cell]
Ni  0.000  0.000  0.376 [2 per cell]
Hg  0.000  0.000  0.692 [2 per cell]

The density of states at the Fermi level comes out at 6.121 states/eV per cell. Its volume is 14.781 Å³/atom. The mass density is 11.801 g cm⁻³.

Run x
FeNiHg: optimized geometry, PBE-GGA.

abc: 4.2598 4.2598 2.8168
angles: 90.00 90.00 120.00
Space group P3m1 (No. 156)
Inequivalent atoms, fractional coordinates:
Fe  0.0000  0.0000  0.0000 [1 per cell]
Ni  0.6667  0.3333  0.8887 [1 per cell]
Hg  0.3333  0.6667  0.4561 [1 per cell]

The density of states at the Fermi level comes out at 2.140 states/eV per cell. Its volume is 14.755 Å³/atom. The mass density is 11.821 g cm⁻³.

Which structure is the most stable? The one labeled run w.

Run w
FeNiHg: optimized geometry, PBE-GGA.

abc: 2.9075 2.9075 6.3247
angles: 90.00 90.00 120.00
Space group P3m1 (No. 156)
Inequivalent atoms, fractional coordinates:
Fe  0.0000  0.0000  0.0000 [1 per cell]
Ni  0.3333  0.6667  0.7290 [1 per cell]
Hg  0.6667  0.3333  0.3716 [1 per cell]

The density of states at the Fermi level comes out at 3.027 states/eV per cell. Its volume is 15.434 Å³/atom. The mass density is 11.302 g cm⁻³.

Run x
FeNiHg: optimized geometry, PBE-GGA.

abc: 5.882 5.882 5.882
angles: 90.00 90.00 90.00
Space group F-43m (No. 216)
Inequivalent atoms, fractional coordinates:
Fe  0.000  0.000  0.000 [4 per cell]
Ni  0.250  0.250  0.750 [4 per cell]
Hg  0.000  0.000  0.500 [4 per cell]

The density of states at the Fermi level comes out at 21.745 states/eV per cell. Its volume is 16.963 Å³/atom. The mass density is 10.283 g cm⁻³.

Which structure is the most stable? The one labeled run w.